Below is a crystal of Al2TlCoSi relaxed with PBEsol, with properties calculated at the meta-GGA SCAN level.

## Properties
The space group is P4/mmm, No. 123. Its uncorrected formation energy is 0.53 eV/atom.

The structure in POSCAR format:
```
Al2TlCoSi
1.0
-4.0461 -0.8950 -1.6250
-1.4263 -0.9924 4.0980
-1.3057 4.6732 0.6772
Tl Co Si Al
1 1 1 2
direct
0.0000 0.0000 0.5000
0.0000 0.0000 0.0000
0.5000 0.5000 0.5000
0.0000 0.5000 0.0000
0.5000 0.0000 0.0000
```

=====

Below is a crystal of CaCrGa2Si relaxed with PBEsol, with properties calculated at the meta-GGA SCAN level.

## Properties
The space group is P4/mmm, No. 123. Its uncorrected formation energy is 1.28 eV/atom.

The structure in POSCAR format:
```
CaCrGa2Si
1.0
5.1808 0.0000 0.0000
0.0000 5.2120 0.0000
0.0000 0.0000 5.2120
Cr Ca Si Ga
1 1 1 2
direct
0.5000 0.5000 0.5000
0.0000 0.0000 0.0000
0.5000 0.0000 0.0000
0.0000 0.0000 0.5000
0.0000 0.5000 0.0000
```

=====

Below is a crystal of AgSbRhI2 relaxed with PBEsol, with properties calculated at the meta-GGA SCAN level.

## Properties
The space group is P4/mmm, No. 123. Its uncorrected formation energy is 0.36 eV/atom.

The structure in POSCAR format:
```
AgSbRhI2
1.0
-2.3833 -1.6141 3.9682
-1.6065 -4.4221 -2.7636
4.4895 -2.6440 1.6209
I Sb Rh Ag
2 1 1 1
direct
0.0000 0.0000 0.5000
0.0000 0.5000 0.0000
0.5000 0.0000 0.0000
0.0000 0.0000 0.0000
0.5000 0.5000 0.5000
```

=====

Below is a crystal of ScMn2Al relaxed with PBEsol, with properties calculated at the meta-GGA SCAN level.

## Properties
The space group is P4/mmm, No. 123. The value obtained for the energy of formation is -0.23 eV per atom.

The structure in POSCAR format:
```
ScMn2Al
1.0
3.4455 0.0000 0.0000
0.0000 4.0674 0.0000
0.0000 0.0000 4.0674
Sc Mn Al
1 2 1
direct
0.5000 0.5000 0.5000
0.0000 0.0000 0.5000
0.0000 0.5000 0.0000
0.5000 0.0000 0.0000
```

=====

Below is a crystal of Ba4La2Ti3Nb2O18 relaxed with PBEsol, with properties calculated at the meta-GGA SCAN level.

## Properties
The space group is R-3m, No. 166. Its uncorrected formation energy is -3.34 eV/atom.

The structure in POSCAR format:
```
Ba4La2Ti3Nb2O18
1.0
5.6565 0.0000 0.0000
2.8283 4.8987 0.0000
2.8283 1.6329 13.8051
Ba La Ti Nb O
4 2 3 2 18
direct
0.8604 0.8604 0.4187
0.6882 0.6882 0.9354
0.3118 0.3118 0.0646
0.1396 0.1396 0.5813
0.5859 0.5859 0.2424
0.4141 0.4141 0.7576
0.7780 0.7780 0.6660
0.5000 0.5000 0.5000
0.2220 0.2220 0.3340
0.9469 0.9469 0.1593
0.0531 0.0531 0.8407
0.9167 0.9167 0.7433
0.4233 0.9167 0.7433
0.9167 0.4233 0.7433
0.3136 0.7936 0.0992
0.7936 0.7936 0.0992
0.7936 0.3136 0.0992
0.3652 0.8545 0.4151
0.8545 0.3652 0.4151
0.3652 0.3652 0.4151
0.1455 0.6348 0.5849
0.6348 0.6348 0.5849
0.6348 0.1455 0.5849
0.2064 0.6864 0.9008
0.6864 0.2064 0.9008
0.2064 0.2064 0.9008
0.0833 0.5767 0.2567
0.0833 0.0833 0.2567
0.5767 0.0833 0.2567
```

=====

Below is a crystal of TaSbTe2P relaxed with PBEsol, with properties calculated at the meta-GGA SCAN level.

## Properties
The space group is P4/mmm, No. 123. Its uncorrected formation energy is 0.82 eV/atom.

The structure in POSCAR format:
```
TaSbTe2P
1.0
-1.7039 4.8957 0.6894
-4.1585 -1.8136 2.6010
2.7494 0.3077 4.6103
Sb Te P Ta
1 2 1 1
direct
0.0000 0.0000 0.5000
0.0000 0.5000 0.0000
0.5000 0.0000 0.0000
0.5000 0.5000 0.5000
0.0000 0.0000 0.0000
```

=====

Below is a crystal of CsNa2Zr relaxed with PBEsol, with properties calculated at the meta-GGA SCAN level.

## Properties
The space group is I-42d, No. 122. The value obtained for the energy of formation is 0.99 eV per atom.

The structure in POSCAR format:
```
CsNa2Zr
1.0
-5.6656 0.7295 4.0981
-6.4227 -3.1379 -2.2905
-1.2414 -5.2250 5.2442
Cs Na Zr
2 4 2
direct
0.7500 0.5000 0.5000
0.0000 0.0000 0.0000
0.1424 0.9826 0.4826
0.6076 0.0174 0.5174
0.3750 0.4826 0.0174
0.8750 0.5174 0.9826
0.2500 0.5000 0.5000
0.5000 0.0000 0.0000
```

=====

Below is a crystal of GdSi2 relaxed with PBEsol, with properties calculated at the meta-GGA SCAN level.

## Properties
The space group is I4_1/amd, No. 141. Its uncorrected formation energy is -0.51 eV/atom.

The structure in POSCAR format:
```
GdSi2
1.0
-1.7350 -3.1344 1.7478
1.3701 -2.3728 -2.8952
6.0910 1.5790 4.3324
Gd Si
2 4
direct
0.5000 0.5000 0.0000
0.7500 0.2500 0.5000
0.1673 0.6673 0.3346
0.9173 0.9173 0.8346
0.3327 0.8327 0.6654
0.0827 0.0827 0.1654
```

=====

Below is a crystal of CsTcN2 relaxed with PBEsol, with properties calculated at the meta-GGA SCAN level.

## Properties
The space group is Fd-3m, No. 227. Its uncorrected formation energy is -0.39 eV/atom.

The structure in POSCAR format:
```
CsTcN2
1.0
6.0260 0.0000 0.0000
3.0130 5.2187 0.0000
3.0130 1.7396 4.9202
Cs Tc N
2 2 4
direct
0.7500 0.7500 0.7500
0.5000 0.5000 0.5000
0.2500 0.2500 0.2500
0.0000 0.0000 0.0000
0.1250 0.1250 0.6250
0.1250 0.1250 0.1250
0.6250 0.1250 0.1250
0.1250 0.6250 0.1250
```

=====

Below is a crystal of ZrAlC3 relaxed with PBEsol, with properties calculated at the meta-GGA SCAN level.

## Properties
The space group is Pm-3m, No. 221. The value obtained for the energy of formation is 2.17 eV per atom.

The structure in POSCAR format:
```
ZrAlC3
1.0
4.2559 0.0000 0.0000
0.0000 4.2559 0.0000
0.0000 0.0000 4.2559
C Al Zr
3 1 1
direct
0.0000 0.5000 0.0000
0.0000 0.0000 0.5000
0.5000 0.0000 0.0000
0.5000 0.5000 0.5000
0.0000 0.0000 0.0000
```

=====

Below is a crystal of WSe2Cl relaxed with PBEsol, with properties calculated at the meta-GGA SCAN level.

## Properties
The space group is Pmmm, No. 47. Its uncorrected formation energy is 1.11 eV/atom. The value obtained for the energy above the most stable polymorph in this dataset is 197 kJ/mol of formula units.

The structure in POSCAR format:
```
WSe2Cl
1.0
-0.6236 2.8520 -1.1319
0.2404 -1.5915 -4.1426
-4.7103 -0.9878 0.1062
Se W Cl
2 1 1
direct
0.0000 0.0000 0.0000
0.5000 0.5000 0.0000
0.5000 0.0000 0.5000
0.0000 0.5000 0.5000
```

=====

Below is a crystal of YCo2Se relaxed with PBEsol, with properties calculated at the meta-GGA SCAN level.

## Properties
The space group is R3m, No. 160. Its uncorrected formation energy is -0.40 eV/atom.

The structure in POSCAR format:
```
YCo2Se
1.0
-0.8005 -3.0044 -2.4052
-0.3125 -0.4588 3.8893
-4.0776 2.6848 -1.9965
Y Co Se
1 2 1
direct
0.2553 0.5107 0.7660
0.0464 0.0929 0.1392
0.7396 0.4791 0.2187
0.4587 0.9173 0.3761
```

=====

Below is a crystal of CsCaTl3 relaxed with PBEsol, with properties calculated at the meta-GGA SCAN level.

## Properties
The space group is Pm-3m, No. 221. The value obtained for the energy of formation is 0.69 eV per atom.

The structure in POSCAR format:
```
CsCaTl3
1.0
-5.4957 0.9504 2.6123
-1.0490 -6.0687 0.0010
2.5743 -0.4440 5.5772
Cs Tl Ca
1 3 1
direct
0.0000 0.0000 0.0000
0.0000 0.5000 0.0000
0.0000 0.0000 0.5000
0.5000 0.0000 0.0000
0.5000 0.5000 0.5000
```

=====

Below is a crystal of BeB2Sb relaxed with PBEsol, with properties calculated at the meta-GGA SCAN level.

## Properties
The space group is Fm-3m, No. 225. Its uncorrected formation energy is 1.66 eV/atom.

The structure in POSCAR format:
```
BeB2Sb
1.0
-0.5320 -3.8935 -1.1391
1.7210 -1.3763 -3.4474
3.1280 -2.6310 0.1839
Sb B Be
1 2 1
direct
0.5000 0.5000 0.5000
0.2500 0.2500 0.2500
0.7500 0.7500 0.7500
0.0000 0.0000 0.0000
```

=====

Below is a crystal of Ir2Rh relaxed with PBEsol, with properties calculated at the meta-GGA SCAN level.

## Properties
The space group is Cm, No. 8. The value obtained for the energy above the most stable polymorph in this dataset is 26 kJ/mol of formula units. The value obtained for the energy of formation is 0.06 eV per atom.

The structure in POSCAR format:
```
Ir2Rh
1.0
-0.8286 -0.3859 2.5524
-3.4208 -2.5022 -2.9286
4.7321 -4.2305 0.8965
Ir Rh
4 2
direct
0.9982 0.9964 0.9997
0.3896 0.7791 0.2781
0.6680 0.3360 0.3328
0.3337 0.6675 0.6672
0.0550 0.1100 0.6108
0.7222 0.4443 0.9448
```

=====

Below is a crystal of NbAgOF2 relaxed with PBEsol, with properties calculated at the meta-GGA SCAN level.

## Properties
The space group is P4/mmm, No. 123. Its uncorrected formation energy is -1.86 eV/atom.

The structure in POSCAR format:
```
NbAgOF2
1.0
3.9345 0.0000 0.0000
0.0000 4.2428 0.0000
0.0000 0.0000 4.2428
Nb O Ag F
1 1 1 2
direct
0.0000 0.0000 0.0000
0.5000 0.0000 0.0000
0.5000 0.5000 0.5000
0.0000 0.0000 0.5000
0.0000 0.5000 0.0000
```

=====

Below is a crystal of CuAs2Pt relaxed with PBEsol, with properties calculated at the meta-GGA SCAN level.

## Properties
The space group is R-3m, No. 166. The value obtained for the energy above the most stable polymorph in this dataset is 5 kJ/mol of formula units. The value obtained for the energy of formation is -0.11 eV per atom.

The structure in POSCAR format:
```
CuAs2Pt
1.0
-3.5808 -0.0189 -0.2318
-1.6702 -2.6446 -1.7586
-2.0590 -4.0335 4.3601
As Pt Cu
2 1 1
direct
0.2503 0.2503 0.2492
0.7497 0.7497 0.7508
0.0000 0.0000 0.0000
0.5000 0.5000 0.5000
```

=====

Below is a crystal of FeTc relaxed with PBEsol, with properties calculated at the meta-GGA SCAN level.

## Properties
The space group is Pnma, No. 62. The value obtained for the energy of formation is 0.21 eV per atom.

The structure in POSCAR format:
```
FeTc
1.0
-2.7966 -2.9851 0.3492
0.9253 -1.3573 -4.1924
3.6153 -3.1734 1.8253
Fe Tc
4 4
direct
0.7500 0.4208 0.8765
0.2500 0.0792 0.3765
0.7500 0.9208 0.6235
0.2500 0.5792 0.1235
0.7500 0.4037 0.3768
0.2500 0.0963 0.8768
0.7500 0.9037 0.1232
0.2500 0.5963 0.6232
```

=====

Below is a crystal of TcHN3 relaxed with PBEsol, with properties calculated at the meta-GGA SCAN level.

## Properties
The space group is Pm-3m, No. 221.

The structure in POSCAR format:
```
TcHN3
1.0
-2.5632 -2.6233 1.0439
1.8986 -0.5579 3.2596
-2.0897 2.7108 1.6811
H Tc N
1 1 3
direct
0.5000 0.5000 0.5000
0.0000 0.0000 0.0000
0.0000 0.5000 0.0000
0.0000 0.0000 0.5000
0.5000 0.0000 0.0000
```

=====

Below is a crystal of La2Hg relaxed with PBEsol, with properties calculated at the meta-GGA SCAN level.

## Properties
The space group is P6_3/mmc, No. 194. The value obtained for the energy of formation is -0.49 eV per atom.

The structure in POSCAR format:
```
La2Hg
1.0
5.3940 0.0000 0.0000
-2.6970 4.6713 0.0000
0.0000 0.0000 7.0516
Hg La
2 4
direct
0.6667 0.3333 0.7500
0.3333 0.6667 0.2500
0.0000 0.0000 0.0000
0.0000 0.0000 0.5000
0.6667 0.3333 0.2500
0.3333 0.6667 0.7500
```

=====

Final energy for the records above, in order: -22.502; -12.867; -34.816; -14.851; -19.582; -36.932; -18.245; -26.795; -23.252; -11.582; -28.344; -21.032; -52.218; -12.459; -58.599; -17.419; -31.549; -26.385; -11.922; -51.952 eV per atom
Volume for the records above, in order: 19.4; 28.1; 29.2; 14.3; 13.2; 29.4; 38.7; 18.8; 19.3; 15.4; 16.7; 15.9; 46.7; 12.1; 13.9; 14.2; 16.5; 11.9; 11.1; 29.6 Å³ per atom